# VCrReAs2

A relaxed VCrReAs2 crystal (PBE, Alexandria via LeMat-Bulk).

Cell: 4.7500 4.7500 4.7354 Å, 90.00 90.00 90.00°
Last column: nearest neighbours and their distance in Å.
Space group P4/mmm (No. 123)
Symmetry-distinct sites (fractional):
V1 0.0000 0.0000 0.0000 (multiplicity 1)  2 Re 2.37
Cr1 0.5000 0.5000 0.0000 (multiplicity 1)  8 As 3.35, 4 V 3.36
Re1 0.0000 0.0000 0.5000 (multiplicity 1)  2 V 2.37, 4 As 2.38
As1 0.0000 0.5000 0.5000 (multiplicity 2)  2 Re 2.38

**E**: -6.67 eV/atom
**D(E_F)**: 1.36 states/eV/atom
**ΔH_f (0 K)**: 1.429 eV per atom